{"formula": "LiCaTl2Pd", "functional": "PBE-GGA", "state": "optimized geometry", "lattice_angstrom": [[5.345, 0.000, 0.000], [0.000, 5.345, 0.000], [0.000, 0.000, 4.685]], "species": ["Li", "Ca", "Tl", "Tl", "Pd"], "fractional_positions": [[0.000, 0.000, 0.000], [0.500, 0.500, 0.000], [0.000, 0.500, 0.500], [0.500, 0.000, 0.500], [0.000, 0.000, 0.500]], "spacegroup": "P4/mmm, No. 123", "e_form_ev_per_fu": -0.9, "final_energy_ev_per_cell": -14.8}

=====

{"formula": "Li2Ca2TlPd5", "functional": "PBE-GGA", "state": "optimized geometry", "lattice_angstrom": [[9.641, 0.000, 0.000], [0.000, 9.641, 0.000], [0.000, 0.000, 3.841]], "species": ["Li", "Li", "Li", "Li", "Ca", "Ca", "Ca", "Ca", "Tl", "Tl", "Pd", "Pd", "Pd", "Pd", "Pd", "Pd", "Pd", "Pd", "Pd", "Pd"], "fractional_positions": [[0.118, 0.382, 0.000], [0.382, 0.882, 0.000], [0.618, 0.118, 0.000], [0.882, 0.618, 0.000], [0.180, 0.680, 0.000], [0.320, 0.180, 0.000], [0.680, 0.820, 0.000], [0.820, 0.320, 0.000], [0.000, 0.000, 0.000], [0.500, 0.500, 0.000], [0.000, 0.500, 0.500], [0.066, 0.214, 0.500], [0.214, 0.934, 0.500], [0.286, 0.434, 0.500], [0.434, 0.714, 0.500], [0.500, 0.000, 0.500], [0.566, 0.286, 0.500], [0.714, 0.566, 0.500], [0.786, 0.066, 0.500], [0.934, 0.786, 0.500]], "spacegroup": "P4/mbm, No. 127", "e_form_ev_per_fu": -5.3, "final_energy_ev_per_cell": -82.9}

=====

{"formula": "Li2CaTlPd", "functional": "PBE-GGA", "state": "optimized geometry", "lattice_angstrom": [[4.812, 0.000, 0.000], [0.000, 4.812, 0.000], [0.000, 0.000, 5.277]], "species": ["Li", "Li", "Ca", "Tl", "Pd"], "fractional_positions": [[0.000, 0.500, 0.000], [0.500, 0.000, 0.000], [0.000, 0.000, 0.500], [0.500, 0.500, 0.500], [0.500, 0.500, 0.000]], "spacegroup": "P4/mmm, No. 123", "e_form_ev_per_fu": -1.0, "final_energy_ev_per_cell": -14.4}

=====

{"formula": "LiCaTm2Pd4", "functional": "PBE-GGA", "state": "optimized geometry", "lattice_angstrom": [[2.396, 1.383, 7.885], [-2.396, 1.383, 7.885], [0.000, -2.767, 7.885]], "species": ["Li", "Ca", "Tm", "Tm", "Pd", "Pd", "Pd", "Pd"], "fractional_positions": [[0.000, 0.000, 0.000], [0.500, 0.500, 0.500], [0.256, 0.256, 0.256], [0.744, 0.744, 0.744], [0.119, 0.119, 0.119], [0.374, 0.374, 0.374], [0.626, 0.626, 0.626], [0.881, 0.881, 0.881]], "spacegroup": "R-3m, No. 166", "e_form_ev_per_fu": -6.0, "final_energy_ev_per_cell": -39.6}

=====

{"formula": "LiCa2YPd", "functional": "PBE-GGA", "state": "optimized geometry", "lattice_angstrom": [[5.643, 0.000, 0.000], [0.000, 5.643, 0.000], [0.000, 0.000, 5.431]], "species": ["Li", "Ca", "Ca", "Y", "Pd"], "fractional_positions": [[0.000, 0.000, 0.000], [0.000, 0.500, 0.500], [0.500, 0.000, 0.500], [0.500, 0.500, 0.000], [0.500, 0.500, 0.500]], "spacegroup": "P4/mmm, No. 123", "e_form_ev_per_fu": -0.9, "final_energy_ev_per_cell": -18.5}

=====

{"formula": "LiCaY2Pd4", "functional": "PBE-GGA", "state": "optimized geometry", "lattice_angstrom": [[2.429, 1.402, 7.929], [-2.429, 1.402, 7.929], [0.000, -2.805, 7.929]], "species": ["Li", "Ca", "Y", "Y", "Pd", "Pd", "Pd", "Pd"], "fractional_positions": [[0.000, 0.000, 0.000], [0.500, 0.500, 0.500], [0.256, 0.256, 0.256], [0.744, 0.744, 0.744], [0.120, 0.120, 0.120], [0.375, 0.375, 0.375], [0.625, 0.625, 0.625], [0.880, 0.880, 0.880]], "spacegroup": "R-3m, No. 166", "e_form_ev_per_fu": -5.7, "final_energy_ev_per_cell": -43.3}

=====

{"formula": "Li2Ca2ZnPd5", "functional": "PBE-GGA", "state": "optimized geometry", "lattice_angstrom": [[9.557, 0.000, 0.000], [0.000, 9.557, 0.000], [0.000, 0.000, 3.685]], "species": ["Li", "Li", "Li", "Li", "Ca", "Ca", "Ca", "Ca", "Zn", "Zn", "Pd", "Pd", "Pd", "Pd", "Pd", "Pd", "Pd", "Pd", "Pd", "Pd"], "fractional_positions": [[0.120, 0.380, 0.000], [0.380, 0.880, 0.000], [0.620, 0.120, 0.000], [0.880, 0.620, 0.000], [0.180, 0.680, 0.000], [0.320, 0.180, 0.000], [0.680, 0.820, 0.000], [0.820, 0.320, 0.000], [0.000, 0.000, 0.000], [0.500, 0.500, 0.000], [0.000, 0.500, 0.500], [0.061, 0.203, 0.500], [0.203, 0.939, 0.500], [0.297, 0.439, 0.500], [0.439, 0.703, 0.500], [0.500, 0.000, 0.500], [0.561, 0.297, 0.500], [0.703, 0.561, 0.500], [0.797, 0.061, 0.500], [0.939, 0.797, 0.500]], "spacegroup": "P4/mbm, No. 127", "e_form_ev_per_fu": -5.6, "final_energy_ev_per_cell": -81.4}

=====

{"formula": "LiCa2Zn5Pd2", "functional": "PBE-GGA", "state": "optimized geometry", "lattice_angstrom": [[9.727, 0.000, 0.000], [0.000, 9.727, 0.000], [0.000, 0.000, 4.027]], "species": ["Li", "Li", "Ca", "Ca", "Ca", "Ca", "Zn", "Zn", "Zn", "Zn", "Zn", "Zn", "Zn", "Zn", "Zn", "Zn", "Pd", "Pd", "Pd", "Pd"], "fractional_positions": [[0.000, 0.000, 0.000], [0.500, 0.500, 0.000], [0.179, 0.321, 0.000], [0.321, 0.821, 0.000], [0.679, 0.179, 0.000], [0.821, 0.679, 0.000], [0.000, 0.500, 0.500], [0.058, 0.797, 0.500], [0.203, 0.058, 0.500], [0.297, 0.558, 0.500], [0.442, 0.297, 0.500], [0.500, 0.000, 0.500], [0.558, 0.703, 0.500], [0.703, 0.442, 0.500], [0.797, 0.942, 0.500], [0.942, 0.203, 0.500], [0.118, 0.618, 0.000], [0.382, 0.118, 0.000], [0.618, 0.882, 0.000], [0.882, 0.382, 0.000]], "spacegroup": "P4/mbm, No. 127", "e_form_ev_per_fu": -3.9, "final_energy_ev_per_cell": -53.1}

=====

{"formula": "Li2CaZn2Pd2", "functional": "PBE-GGA", "state": "optimized geometry", "lattice_angstrom": [[3.781, -2.183, 0.000], [3.781, 2.183, 0.000], [-2.541, 0.000, 7.635]], "species": ["Li", "Li", "Ca", "Zn", "Zn", "Pd", "Pd"], "fractional_positions": [[0.141, 0.141, 0.421], [0.859, 0.859, 0.579], [0.000, 0.000, 0.000], [0.431, 0.431, 0.290], [0.569, 0.569, 0.710], [0.253, 0.253, 0.761], [0.747, 0.747, 0.239]], "spacegroup": "C2/m, No. 12", "e_form_ev_per_fu": -3.3, "final_energy_ev_per_cell": -22.1}

=====

{"formula": "LiCaZn2Pd", "functional": "PBE-GGA", "state": "optimized geometry", "lattice_angstrom": [[4.866, 0.000, 0.000], [0.000, 4.866, 0.000], [0.000, 0.000, 4.649]], "species": ["Li", "Ca", "Zn", "Zn", "Pd"], "fractional_positions": [[0.000, 0.000, 0.000], [0.500, 0.500, 0.000], [0.000, 0.500, 0.500], [0.500, 0.000, 0.500], [0.000, 0.000, 0.500]], "spacegroup": "P4/mmm, No. 123", "e_form_ev_per_fu": -1.2, "final_energy_ev_per_cell": -12.8}

=====

{"formula": "LiCa2Zn2Pd5", "functional": "PBE-GGA", "state": "optimized geometry", "lattice_angstrom": [[9.786, 0.000, 0.000], [0.000, 9.786, 0.000], [0.000, 0.000, 3.709]], "species": ["Li", "Li", "Ca", "Ca", "Ca", "Ca", "Zn", "Zn", "Zn", "Zn", "Pd", "Pd", "Pd", "Pd", "Pd", "Pd", "Pd", "Pd", "Pd", "Pd"], "fractional_positions": [[0.000, 0.000, 0.000], [0.500, 0.500, 0.000], [0.174, 0.326, 0.000], [0.326, 0.826, 0.000], [0.674, 0.174, 0.000], [0.826, 0.674, 0.000], [0.126, 0.626, 0.000], [0.374, 0.126, 0.000], [0.626, 0.874, 0.000], [0.874, 0.374, 0.000], [0.000, 0.500, 0.500], [0.065, 0.799, 0.500], [0.201, 0.065, 0.500], [0.299, 0.565, 0.500], [0.435, 0.299, 0.500], [0.500, 0.000, 0.500], [0.565, 0.701, 0.500], [0.701, 0.435, 0.500], [0.799, 0.935, 0.500], [0.935, 0.201, 0.500]], "spacegroup": "P4/mbm, No. 127", "e_form_ev_per_fu": -5.7, "final_energy_ev_per_cell": -80.2}

=====

{"formula": "Li2CaZnPd", "functional": "PBE-GGA", "state": "optimized geometry", "lattice_angstrom": [[4.818, 0.000, 0.000], [0.000, 4.818, 0.000], [0.000, 0.000, 5.440]], "species": ["Li", "Li", "Ca", "Zn", "Pd"], "fractional_positions": [[0.000, 0.500, 0.000], [0.500, 0.000, 0.000], [0.000, 0.000, 0.500], [0.500, 0.500, 0.500], [0.000, 0.000, 0.000]], "spacegroup": "P4/mmm, No. 123", "e_form_ev_per_fu": -0.2, "final_energy_ev_per_cell": -12.5}